9
Lattice="-0.8936 1.5284 3.6836 0.2087 -3.7519 1.6074 8.8561 1.1999 1.6505" Properties=species:S:1:pos:R:3 comment="LiHoSi2Pt5 PBE relaxed" volume_a3_per_atom=16.87 energy_ev_per_atom=-6.20 total_magnetization_mub_per_fu=0.00 mass_density_g_cm3=13.164 pbc="T T T"
Li 0.0000 0.0000 0.0000
Ho 4.4281 0.5999 0.8253
Si 0.7938 -0.9578 2.8573
Si 7.3775 -0.0658 4.0843
Pt 2.4442 -1.5589 1.2398
Pt 1.8930 1.0812 2.2779
Pt 6.6207 -0.9931 2.0181
Pt 6.0695 1.6471 3.0563
Pt 4.0856 -0.5118 3.4708